1.
BeAlHg2: optimized geometry, PBE.

## Properties
The energy of formation is 283 meV per atom. Its crystal system is orthorhombic.

a b c (Å): 2.883 4.234 12.367
angles (deg): 90.00 90.00 90.00
Space group Imm2 (No. 44)
Asymmetric unit:
Be 0.000 0.000 0.000 x2
Al 0.000 0.500 0.326 x2
Hg 0.000 0.000 0.505 x2
Hg 0.000 0.500 0.704 x2



2.
Pm2Pr2Cd: optimized geometry, PBE.

## Properties
The energy of formation is -47 meV per atom. Its crystal system is monoclinic.

a b c (Å): 8.730 9.478 8.669
angles (deg): 90.00 115.25 90.00
Space group C2/m (No. 12)
Asymmetric unit:
Pm 0.079 0.187 0.220 x8
Pr 0.160 0.500 0.927 x4
Pr 0.214 0.000 0.618 x4
Cd 0.000 0.343 0.500 x4



3.
SrU2BeO8: optimized geometry, PBE.

## Properties
The calculation puts the formation energy from raw total energies at -2.888 eV per atom. Its crystal system is triclinic.

a b c (Å): 4.081 5.714 7.051
angles (deg): 96.90 92.34 95.21
Space group P-1 (No. 2)
Asymmetric unit:
Sr 0.000 0.000 0.000 x1
U 0.448 0.462 0.741 x2
Be 0.000 0.000 0.500 x1
O 0.062 0.411 0.222 x2
O 0.091 0.148 0.682 x2
O 0.428 0.702 0.551 x2
O 0.467 0.723 0.025 x2



4.
LiTl2: optimized geometry, PBE.

## Properties
The energy of formation is -69 meV per atom. Its crystal system is orthorhombic.

a b c (Å): 3.426 15.702 5.642
angles (deg): 90.00 90.00 90.00
Space group Cmcm (No. 63)
Asymmetric unit:
Li 0.000 0.214 0.250 x4
Tl 0.000 0.133 0.750 x4
Tl 0.000 0.442 0.750 x4



| no. | total moment (μB/cell) |
| --- | --- |
| 1 | 0.00 |
| 2 | 0.00 |
| 3 | 0.00 |
| 4 | 0.00 |